Arrangement w

Mn2TeBr | PBE | relaxed

- M_tot (μB per formula unit) = 6.93
- calculated density (Mg/m³) = 5.2

Cell lengths 4.4275, 4.4275, 7.3132 Å; angles 97.99, 97.99, 46.19 degrees
Fractional positions:
Mn 0.0000 0.0000 0.0000
Mn 0.7297 0.7297 0.1710
Te 0.4548 0.4548 0.3092
Br 0.2460 0.2460 0.8301



Arrangement x

Mn2TeBr | PBE | relaxed

- M_tot (μB per formula unit) = 9.15
- calculated density (Mg/m³) = 5.5

Cell lengths 5.2957, 5.2957, 5.2957 Å; angles 134.83, 107.14, 90.02 degrees
Fractional positions:
Mn 0.2405 0.2405 0.0000
Mn 0.7595 0.7595 0.0000
Te 0.5000 0.0000 0.5000
Br 0.0000 0.5000 0.5000



Most stable = arrangement w



Arrangement w

Mn2TeBr | PBE | relaxed

- M_tot (μB per formula unit) = 6.84
- calculated density (Mg/m³) = 5.5

Cell lengths 9.1555, 9.1555, 9.1555 Å; angles 22.26, 22.26, 22.26 degrees
Fractional positions:
Mn 0.0000 0.0000 0.0000
Mn 0.2598 0.2598 0.2598
Te 0.5342 0.5342 0.5342
Br 0.7280 0.7280 0.7280



Arrangement x

Mn2TeBr | PBE | relaxed

- M_tot (μB per formula unit) = 8.15
- calculated density (Mg/m³) = 6.0

Cell lengths 3.5228, 3.5228, 7.0993 Å; angles 90.00, 90.00, 90.00 degrees
Fractional positions:
Mn 0.0000 0.0000 0.2040
Mn 0.0000 0.0000 0.7960
Te 0.5000 0.5000 0.0000
Br 0.5000 0.5000 0.5000



Arrangement y

Mn2TeBr | PBE | relaxed

- M_tot (μB per formula unit) = 8.74
- calculated density (Mg/m³) = 5.5

Cell lengths 3.6464, 3.8652, 6.8364 Å; angles 90.00, 90.00, 90.00 degrees
Fractional positions:
Mn 0.0000 0.0000 0.1938
Mn 0.0000 0.0000 0.8062
Te 0.5000 0.5000 0.0000
Br 0.5000 0.0000 0.5000



Most stable = arrangement y



Arrangement w

Mn2TeBr | PBE | relaxed

- M_tot (μB per formula unit) = 8.88
- calculated density (Mg/m³) = 5.3

Cell lengths 7.2502, 7.2502, 7.2502 Å; angles 149.11, 149.11, 44.25 degrees
Fractional positions:
Mn 0.0000 0.0000 0.0000
Mn 0.7500 0.2500 0.5000
Te 0.2500 0.7500 0.5000
Br 0.5000 0.5000 0.0000



Arrangement x

Mn2TeBr | PBE | relaxed

- M_tot (μB per formula unit) = 0.24
- calculated density (Mg/m³) = 4.8

Cell lengths 8.0807, 8.0807, 8.0807 Å; angles 153.23, 152.64, 38.65 degrees
Fractional positions:
Mn 0.0000 0.0000 0.0000
Mn 0.6177 0.1177 0.5000
Te 0.1518 0.6518 0.5000
Br 0.4247 0.4247 0.0000



Most stable = arrangement x



Arrangement w

Mn2TeBr | PBE | relaxed

- M_tot (μB per formula unit) = 9.07
- calculated density (Mg/m³) = 5.4

Cell lengths 3.7330, 3.7330, 7.6784 Å; angles 90.00, 90.00, 114.44 degrees
Fractional positions:
Mn 0.0000 0.0000 0.2385
Mn 0.0000 0.0000 0.7615
Te 0.5000 0.5000 0.0000
Br 0.5000 0.5000 0.5000



Arrangement x

Mn2TeBr | PBE | relaxed

- M_tot (μB per formula unit) = 9.01
- calculated density (Mg/m³) = 5.3

Cell lengths 4.4509, 5.0731, 4.4752 Å; angles 90.00, 100.75, 90.00 degrees
Fractional positions:
Mn 0.0000 0.0000 0.0000
Mn 0.2614 0.5000 0.7642
Te 0.4016 0.0000 0.5979
Br 0.8561 0.5000 0.1459



Most stable = arrangement x